1.
The following is a PBEsol calculation of ScAg2Au after structural relaxation, from Alexandria.

Geometry as extended XYZ:
```
4
Lattice="-3.160 -1.231 -2.234 2.518 -2.072 -2.420 -0.099 -1.726 4.783" Properties=species:S:1:pos:R:3 pbc="T T T"
Sc -0.321 -1.652 -2.327
Au 0.000 0.000 0.000
Ag -1.790 -2.305 0.111
Ag 1.049 -2.725 0.017
```

Values from the calculation:
magnetic moment: 0.0 μB/cell
symmetry: I4/mmm
VASP energy: -4.692 eV per atom
calculated formation energy: -1.62 eV/f.u.
DOS(E_F): 1.8 states/eV per cell

=====

2.
The following is a PBEsol calculation of CrMoO4 after structural relaxation, from Alexandria.

Geometry as extended XYZ:
```
6
Lattice="2.874 0.000 0.000 0.000 4.618 -0.024 0.000 -0.124 4.616" Properties=species:S:1:pos:R:3 pbc="T T T"
Cr 0.000 0.000 0.000
Mo 1.437 2.247 2.296
O 1.437 0.908 0.927
O 1.437 3.586 3.665
O 0.000 1.258 3.264
O 0.000 3.236 1.328
```

Values from the calculation:
magnetic moment: 3.2 μB/cell
symmetry: Cmmm
formation energy (no corrections): -1.961 eV per atom
VASP energy: -9.129 eV per atom
DOS(E_F): 1.7 states/eV per cell

=====

3.
The following is a PBEsol calculation of CoMoOs3 after structural relaxation, from Alexandria.

Geometry as extended XYZ:
```
5
Lattice="-0.481 -1.711 3.913 3.541 -2.360 -0.596 2.386 3.158 1.674" Properties=species:S:1:pos:R:3 pbc="T T T"
Co 0.000 0.000 0.000
Mo 2.723 -0.457 2.495
Os 1.771 -1.180 -0.298
Os 1.193 1.579 0.837
Os -0.241 -0.855 1.956
```

Values from the calculation:
magnetic moment: 0.0 μB/cell
symmetry: Pm-3m
VASP energy: -9.388 eV per atom
calculated formation energy: 9.21 eV/f.u.
DOS(E_F): 7.7 states/eV per cell

=====

4.
The following is a PBEsol calculation of Sm3Si2Cl5O6 after structural relaxation, from Alexandria.

Geometry as extended XYZ:
```
32
Lattice="7.480 0.002 -0.002 0.087 7.479 -0.002 1.914 1.893 11.493" Properties=species:S:1:pos:R:3 pbc="T T T"
Sm 3.820 7.489 3.825
Sm 0.043 3.740 -0.001
Sm 7.532 3.734 3.825
Sm 5.661 1.884 7.664
Sm 1.949 5.639 7.664
Sm 3.740 0.001 -0.001
Si 3.075 8.283 9.838
Si 8.318 2.981 9.838
Si 1.163 6.393 1.651
Si 6.405 1.090 1.651
Cl 5.400 5.339 4.184
Cl 1.699 5.858 4.823
Cl 3.604 7.741 6.666
Cl 2.339 2.312 3.881
Cl 5.205 5.146 0.008
Cl 5.877 1.632 4.823
Cl 4.276 4.228 11.480
Cl 7.142 7.061 7.607
Cl 7.782 3.515 6.666
Cl 4.081 4.035 7.304
O 1.902 1.880 9.298
O 4.593 8.734 9.502
O 0.695 4.880 1.987
O 2.688 6.822 1.985
O 6.792 2.552 9.503
O 2.629 6.763 9.503
O 6.401 1.093 -0.002
O 6.852 2.610 1.985
O 1.166 6.388 -0.002
O 8.786 4.494 9.502
O 4.887 0.639 1.987
O 7.579 7.493 2.191
```

Values from the calculation:
magnetic moment: 0.0 μB/cell
symmetry: C2/m
formation energy (no corrections): -2.776 eV per atom
VASP energy: -7.045 eV per atom
DOS(E_F): 0.0 states/eV per cell

=====

5.
The following is a PBEsol calculation of KLiTaFe2 after structural relaxation, from Alexandria.

Geometry as extended XYZ:
```
5
Lattice="4.522 0.000 0.000 0.000 4.522 0.000 0.000 0.000 5.549" Properties=species:S:1:pos:R:3 pbc="T T T"
K 2.261 2.261 2.774
Li 0.000 0.000 2.774
Fe 0.000 2.261 0.000
Fe 2.261 0.000 0.000
Ta 0.000 0.000 0.000
```

Values from the calculation:
magnetic moment: 2.7 μB/cell
symmetry: P4/mmm
VASP energy: -5.457 eV per atom
calculated formation energy: 6.29 eV/f.u.
DOS(E_F): 5.7 states/eV per cell

=====

6.
The following is a PBEsol calculation of In2P after structural relaxation, from Alexandria.

Geometry as extended XYZ:
```
6
Lattice="-4.234 3.017 0.760 -2.654 -0.403 4.979 0.800 5.137 2.229" Properties=species:S:1:pos:R:3 pbc="T T T"
In -4.259 6.505 4.935
In -1.829 1.244 3.032
In -3.210 3.284 5.406
In -2.878 4.466 2.562
P -1.059 0.754 0.190
P -3.176 2.263 0.570
```

Values from the calculation:
magnetic moment: 0.0 μB/cell
symmetry: I4/mcm
VASP energy: -3.766 eV per atom
calculated formation energy: 0.46 eV/f.u.
DOS(E_F): 2.0 states/eV per cell

=====

7.
The following is a PBEsol calculation of CuAgP2S after structural relaxation, from Alexandria.

Geometry as extended XYZ:
```
5
Lattice="-3.061 1.702 -2.662 0.475 -3.417 -2.730 -3.291 -2.305 2.311" Properties=species:S:1:pos:R:3 pbc="T T T"
P 0.238 -1.708 -1.365
P -1.531 0.851 -1.331
S -1.646 -1.152 1.156
Cu 0.000 0.000 0.000
Ag -2.939 -2.010 -1.540
```

Values from the calculation:
magnetic moment: 0.0 μB/cell
symmetry: P4/mmm
formation energy (no corrections): 0.813 eV per atom
VASP energy: -3.910 eV per atom
DOS(E_F): 3.6 states/eV per cell

=====

8.
The following is a PBEsol calculation of TlCuN2 after structural relaxation, from Alexandria.

Geometry as extended XYZ:
```
4
Lattice="3.424 0.000 0.000 1.712 2.966 0.000 1.712 0.989 5.851" Properties=species:S:1:pos:R:3 pbc="T T T"
Tl 3.424 1.977 2.926
Cu 0.000 0.000 0.000
N 5.136 2.966 1.757
N 1.712 0.989 4.094
```

Values from the calculation:
magnetic moment: 0.0 μB/cell
symmetry: R-3m
formation energy (no corrections): 1.142 eV per atom
VASP energy: -4.863 eV per atom
DOS(E_F): 3.4 states/eV per cell